Record 1
The following is a DFT calculation (PBE) of an optimized crystal structure of Ac2FeAgSn6.

Fermi-level density of states: 0.8278 states/eV per atom
E_form: -0.22 eV/atom
Total magnetization: 0.77 μB per formula unit
Volume: 1651.8 Å³/cell

Lattice parameters (Å, degrees): 6.9890 6.9890 39.0467 90.00 90.00 120.00
Space group R-3m (No. 166, hexagonal axes)
Unique sites:
Ac  0.0000  0.0000  0.1089 x6
Ac  0.0000  0.0000  0.2893 x6
Fe  0.0000  0.0000  0.0000 x3
Fe  0.0000  0.0000  0.5000 x3
Ag  0.0000  0.0000  0.4282 x6
Sn  0.0332  0.5166  0.2961 x18
Sn  0.0504  0.5252  0.8649 x18

Record 2
The following is a DFT calculation (PBE) of an optimized crystal structure of Ac3Ga2Ag.

Fermi-level density of states: 1.0604 states/eV per atom
E_form: -0.38 eV/atom
Total magnetization: 0.00 μB per formula unit
Volume: 367.0 Å³/cell

Lattice parameters (Å, degrees): 5.5542 5.5542 13.7373 90.00 90.00 120.00
Space group P-3m1 (No. 164)
Unique sites:
Ac  0.0000  0.0000  0.2463 x2
Ac  0.3333  0.6667  0.4134 x2
Ac  0.3333  0.6667  0.9172 x2
Ga  0.0000  0.0000  0.0000 x1
Ga  0.0000  0.0000  0.5000 x1
Ga  0.3333  0.6667  0.1670 x2
Ag  0.3333  0.6667  0.6660 x2

Record 3
The following is a DFT calculation (PBE) of an optimized crystal structure of Ac4GaAg2.

Fermi-level density of states: 1.0803 states/eV per atom
E_form: -0.20 eV/atom
Total magnetization: 0.00 μB per formula unit
Volume: 726.2 Å³/cell

Lattice parameters (Å, degrees): 5.5720 5.5720 27.0066 90.00 90.00 120.00
Space group R-3m (No. 166, hexagonal axes)
Unique sites:
Ac  0.0000  0.0000  0.1236 x6
Ac  0.0000  0.0000  0.3751 x6
Ga  0.0000  0.0000  0.0000 x3
Ag  0.0000  0.0000  0.2486 x6

Record 4
The following is a DFT calculation (PBE) of an optimized crystal structure of AcGa2Ag.

Fermi-level density of states: 0.7247 states/eV per atom
E_form: -0.46 eV/atom
Total magnetization: 0.00 μB per formula unit
Volume: 771.8 Å³/cell

Lattice parameters (Å, degrees): 14.855 4.531 11.467 90.00 90.00 90.00
Space group Pnma (No. 62)
Unique sites:
Ac  0.045  0.250  0.244 x4
Ac  0.204  0.750  0.510 x4
Ga  0.027  0.250  0.539 x4
Ga  0.122  0.250  0.724 x4
Ga  0.126  0.750  0.025 x4
Ga  0.206  0.750  0.223 x4
Ag  0.057  0.250  0.943 x4
Ag  0.206  0.750  0.809 x4

Record 5
The following is a DFT calculation (PBE) of an optimized crystal structure of Ac6GaAg5.

Fermi-level density of states: 0.7769 states/eV per atom
E_form: -0.29 eV/atom
Total magnetization: 0.00 μB per formula unit
Volume: 743.7 Å³/cell

Lattice parameters (Å, degrees): 5.582 7.939 16.781 90.00 90.00 90.00
Space group Immm (No. 71)
Unique sites:
Ac  0.000  0.248  0.000 x4
Ac  0.000  0.251  0.335 x8
Ga  0.000  0.500  0.500 x2
Ag  0.000  0.000  0.167 x4
Ag  0.000  0.000  0.500 x2
Ag  0.000  0.500  0.167 x4

Record 6
The following is a DFT calculation (PBE) of an optimized crystal structure of AcGa4Ag2.

Fermi-level density of states: 0.4022 states/eV per atom
E_form: -0.29 eV/atom
Total magnetization: 0.00 μB per formula unit
Volume: 604.3 Å³/cell

Lattice parameters (Å, degrees): 15.816 6.320 6.168 90.00 101.46 90.00
Space group C2/c (No. 15)
Unique sites:
Ac  0.000  0.247  0.250 x4
Ga  0.084  0.256  0.796 x8
Ga  0.174  0.001  0.090 x8
Ag  0.183  0.485  0.586 x8

Record 7
The following is a DFT calculation (PBE) of an optimized crystal structure of AcGaAg3.

Fermi-level density of states: 0.5309 states/eV per atom
E_form: -0.27 eV/atom
Total magnetization: 0.00 μB per formula unit
Volume: 233.8 Å³/cell

Lattice parameters (Å, degrees): 7.212 6.693 5.834 90.00 123.85 90.00
Space group Cm (No. 8)
Unique sites:
Ac  0.000  0.000  0.000 x2
Ga  0.184  0.500  0.281 x2
Ag  0.355  0.000  0.772 x2
Ag  0.499  0.221  0.484 x4

Record 8
The following is a DFT calculation (PBE) of an optimized crystal structure of Ac4GaAg2.

Fermi-level density of states: 1.2019 states/eV per atom
E_form: -0.21 eV/atom
Total magnetization: 0.00 μB per formula unit
Volume: 951.0 Å³/cell

Lattice parameters (Å, degrees): 9.931 9.931 9.643 90.00 90.00 90.00
Space group I-42d (No. 122)
Unique sites:
Ac  0.065  0.183  0.303 x16
Ga  0.000  0.000  0.000 x4
Ag  0.124  0.250  0.625 x8

Record 9
The following is a DFT calculation (PBE) of an optimized crystal structure of Ac2Ga2Ag3.

Fermi-level density of states: 0.6061 states/eV per atom
E_form: -0.34 eV/atom
Total magnetization: 0.00 μB per formula unit
Volume: 711.3 Å³/cell

Lattice parameters (Å, degrees): 4.548 20.842 7.504 90.00 90.00 90.00
Space group Cmcm (No. 63)
Unique sites:
Ac  0.000  0.055  0.250 x4
Ac  0.000  0.165  0.750 x4
Ga  0.000  0.314  0.566 x8
Ag  0.000  0.219  0.250 x4
Ag  0.000  0.438  0.065 x8

Record 10
The following is a DFT calculation (PBE) of an optimized crystal structure of Ac3Ga2Ag4.

Fermi-level density of states: 0.8568 states/eV per atom
E_form: -0.38 eV/atom
Total magnetization: 0.00 μB per formula unit
Volume: 482.8 Å³/cell

Lattice parameters (Å, degrees): 11.659 4.764 9.265 90.00 110.23 90.00
Space group C2/m (No. 12)
Unique sites:
Ac  0.000  0.000  0.000 x2
Ac  0.163  0.500  0.668 x4
Ga  0.115  0.500  0.285 x4
Ag  0.066  0.000  0.392 x4
Ag  0.215  0.500  0.059 x4

Record 11
The following is a DFT calculation (PBE) of an optimized crystal structure of AcGa4Ag8.

Fermi-level density of states: 0.4721 states/eV per atom
E_form: -0.15 eV/atom
Total magnetization: 0.00 μB per formula unit
Volume: 496.7 Å³/cell

Lattice parameters (Å, degrees): 9.598 9.598 5.392 90.00 90.00 90.00
Space group I4/mmm (No. 139)
Unique sites:
Ac  0.000  0.000  0.000 x2
Ga  0.250  0.250  0.250 x8
Ag  0.000  0.221  0.500 x8
Ag  0.000  0.351  0.000 x8

Record 12
The following is a DFT calculation (PBE) of an optimized crystal structure of AcGa2Ag3.

Fermi-level density of states: 0.4868 states/eV per atom
E_form: -0.29 eV/atom
Total magnetization: 0.00 μB per formula unit
Volume: 529.5 Å³/cell

Lattice parameters (Å, degrees): 17.047 4.429 7.792 90.00 115.86 90.00
Space group C2/m (No. 12)
Unique sites:
Ac  0.150  0.000  0.069 x4
Ga  0.019  0.500  0.174 x4
Ga  0.193  0.000  0.686 x4
Ag  0.038  0.000  0.371 x4
Ag  0.095  0.500  0.679 x4
Ag  0.184  0.500  0.444 x4